# ZrRh | Alexandria | GGA-PBE | optimized geometry
# Total DFT energy (no corrections) ... -8.59 eV/atom
# DFT formation energy ... -637.6 meV per atom
data_ZrRh
_cell_length_a 5.323
_cell_length_b 5.323
_cell_length_c 5.323
_cell_angle_alpha 90.00
_cell_angle_beta 90.00
_cell_angle_gamma 90.00
_symmetry_space_group_name_H-M 'P 21 3'
_symmetry_Int_Tables_number 198
_symmetry_space_group_name_Hall 'P 2ac 2ab 3'
loop_
_atom_site_label
_atom_site_type_symbol
_atom_site_fract_x
_atom_site_fract_y
_atom_site_fract_z
Zr1 Zr 0.076 0.076 0.076
Rh1 Rh 0.069 0.569 0.931


# Y2Tm3Ru2 | Alexandria | GGA-PBE | optimized geometry
# Total DFT energy (no corrections) ... -6.77 eV/atom
# DFT formation energy ... -360.2 meV per atom
data_Y2Tm3Ru2
_cell_length_a 11.725
_cell_length_b 3.885
_cell_length_c 8.436
_cell_angle_alpha 90.00
_cell_angle_beta 114.02
_cell_angle_gamma 90.00
_symmetry_space_group_name_H-M 'C 1 2/m 1'
_symmetry_Int_Tables_number 12
loop_
_symmetry_equiv_pos_as_xyz
'x,y,z'
'-x,-y,-z'
'-x,y,-z'
'x,-y,z'
'x+1/2,y+1/2,z'
'-x+1/2,-y+1/2,-z'
'-x+1/2,y+1/2,-z'
'x+1/2,-y+1/2,z'
loop_
_atom_site_label
_atom_site_type_symbol
_atom_site_fract_x
_atom_site_fract_y
_atom_site_fract_z
Y1 Y 0.163 0.000 0.307
Tm1 Tm 0.000 0.500 0.500
Tm2 Tm 0.123 0.500 0.929
Ru1 Ru 0.175 0.000 0.723


# LaPm3Sm4 | Alexandria | GGA-PBE | optimized geometry
# Total DFT energy (no corrections) ... -4.72 eV/atom
# Offset from the most stable computed form ... 0.017 eV/atom
# DFT formation energy ... 33.6 meV per atom
data_LaPm3Sm4
_cell_length_a 11.804
_cell_length_b 7.388
_cell_length_c 6.392
_cell_angle_alpha 90.00
_cell_angle_beta 90.00
_cell_angle_gamma 90.00
_symmetry_space_group_name_H-M 'P m n 21'
_symmetry_Int_Tables_number 31
loop_
_symmetry_equiv_pos_as_xyz
'x,y,z'
'-x+1/2,-y,z+1/2'
'-x,y,z'
'x+1/2,-y,z+1/2'
loop_
_atom_site_label
_atom_site_type_symbol
_atom_site_fract_x
_atom_site_fract_y
_atom_site_fract_z
La1 La 0.000 0.125 0.000
Pm1 Pm 0.000 0.873 0.498
Pm2 Pm 0.250 0.126 0.667
Sm1 Sm 0.000 0.376 0.498
Sm2 Sm 0.000 0.625 0.999
Sm3 Sm 0.249 0.624 0.667


# AgHg2Pt | Alexandria | GGA-PBE | optimized geometry
# Total DFT energy (no corrections) ... -2.29 eV/atom
# Offset from the most stable computed form ... 0.017 eV/atom
# DFT formation energy ... 79.5 meV per atom
data_AgHg2Pt
_cell_length_a 3.0857
_cell_length_b 3.0857
_cell_length_c 28.0562
_cell_angle_alpha 90.00
_cell_angle_beta 90.00
_cell_angle_gamma 120.00
_symmetry_space_group_name_H-M 'R -3 m'
_symmetry_Int_Tables_number 166
_symmetry_space_group_name_Hall '-R 3 2"'
loop_
_atom_site_label
_atom_site_type_symbol
_atom_site_fract_x
_atom_site_fract_y
_atom_site_fract_z
Ag1 Ag 0.0000 0.0000 0.0000
Hg1 Hg 0.0000 0.0000 0.2477
Pt1 Pt 0.0000 0.0000 0.5000


# FeMoRu2 | Alexandria | GGA-PBE | optimized geometry
# Total DFT energy (no corrections) ... -9.35 eV/atom
# Offset from the most stable computed form ... 0.069 eV/atom
# DFT formation energy ... 108.8 meV per atom
data_FeMoRu2
_cell_length_a 2.712
_cell_length_b 3.768
_cell_length_c 5.405
_cell_angle_alpha 90.00
_cell_angle_beta 90.00
_cell_angle_gamma 90.00
_symmetry_space_group_name_H-M 'P m m 2'
_symmetry_Int_Tables_number 25
loop_
_symmetry_equiv_pos_as_xyz
'x,y,z'
'-x,-y,z'
'-x,y,z'
'x,-y,z'
loop_
_atom_site_label
_atom_site_type_symbol
_atom_site_fract_x
_atom_site_fract_y
_atom_site_fract_z
Fe1 Fe 0.000 0.000 0.000
Mo1 Mo 0.500 0.500 0.252
Ru1 Ru 0.000 0.000 0.519
Ru2 Ru 0.500 0.500 0.772


# SrEu2Rh | Alexandria | GGA-PBE | optimized geometry
# Total DFT energy (no corrections) ... -7.49 eV/atom
# Offset from the most stable computed form ... 0.092 eV/atom
# DFT formation energy ... -95.9 meV per atom
data_SrEu2Rh
_cell_length_a 4.0972
_cell_length_b 4.0972
_cell_length_c 32.8921
_cell_angle_alpha 90.00
_cell_angle_beta 90.00
_cell_angle_gamma 120.00
_symmetry_space_group_name_H-M 'R -3 m'
_symmetry_Int_Tables_number 166
_symmetry_space_group_name_Hall '-R 3 2"'
loop_
_atom_site_label
_atom_site_type_symbol
_atom_site_fract_x
_atom_site_fract_y
_atom_site_fract_z
Sr1 Sr 0.0000 0.0000 0.0000
Eu1 Eu 0.0000 0.0000 0.1178
Rh1 Rh 0.0000 0.0000 0.5000


# Dy7Ho2In | Alexandria | GGA-PBE | optimized geometry
# Total DFT energy (no corrections) ... -3.83 eV/atom
# DFT formation energy ... 582.0 meV per atom
data_Dy7Ho2In
_cell_length_a 8.663
_cell_length_b 16.135
_cell_length_c 5.317
_cell_angle_alpha 90.00
_cell_angle_beta 90.00
_cell_angle_gamma 90.00
_symmetry_space_group_name_H-M 'C m m m'
_symmetry_Int_Tables_number 65
_symmetry_space_group_name_Hall '-C 2 2'
loop_
_atom_site_label
_atom_site_type_symbol
_atom_site_fract_x
_atom_site_fract_y
_atom_site_fract_z
Dy1 Dy 0.000 0.000 0.000
Dy2 Dy 0.000 0.298 0.500
Dy3 Dy 0.177 0.394 0.000
Ho1 Ho 0.000 0.208 0.000
In1 In 0.000 0.500 0.500


# YBi | Alexandria | GGA-PBE | optimized geometry
# Total DFT energy (no corrections) ... -5.50 eV/atom
# DFT formation energy ... -324.5 meV per atom
data_YBi
_cell_length_a 9.655
_cell_length_b 9.655
_cell_length_c 9.655
_cell_angle_alpha 90.00
_cell_angle_beta 90.00
_cell_angle_gamma 90.00
_symmetry_space_group_name_H-M 'I -4 3 m'
_symmetry_Int_Tables_number 217
_symmetry_space_group_name_Hall 'I -4 2 3'
loop_
_atom_site_label
_atom_site_type_symbol
_atom_site_fract_x
_atom_site_fract_y
_atom_site_fract_z
Y1 Y 0.149 0.149 0.149
Bi1 Bi 0.169 0.169 0.831


# Pm4Pr6Er | Alexandria | GGA-PBE | optimized geometry
# Total DFT energy (no corrections) ... -4.47 eV/atom
# DFT formation energy ... 274.6 meV per atom
data_Pm4Pr6Er
_cell_length_a 6.871
_cell_length_b 6.871
_cell_length_c 16.795
_cell_angle_alpha 90.00
_cell_angle_beta 90.00
_cell_angle_gamma 90.00
_symmetry_space_group_name_H-M 'I -4 2 m'
_symmetry_Int_Tables_number 121
_symmetry_space_group_name_Hall 'I -4 2'
loop_
_atom_site_label
_atom_site_type_symbol
_atom_site_fract_x
_atom_site_fract_y
_atom_site_fract_z
Pm1 Pm 0.173 0.173 0.383
Pr1 Pr 0.000 0.500 0.000
Pr2 Pr 0.190 0.190 0.178
Er1 Er 0.000 0.000 0.000


# MgOs2Br | Alexandria | GGA-PBE | optimized geometry
# Total DFT energy (no corrections) ... -5.54 eV/atom
# Offset from the most stable computed form ... 0.641 eV/atom
# ΔE_f (raw) ... 0.895 eV/atom
data_MgOs2Br
_cell_length_a 3.570
_cell_length_b 3.570
_cell_length_c 12.597
_cell_angle_alpha 90.00
_cell_angle_beta 90.00
_cell_angle_gamma 90.00
_symmetry_space_group_name_H-M 'I 4/m m m'
_symmetry_Int_Tables_number 139
_symmetry_space_group_name_Hall '-I 4 2'
loop_
_atom_site_label
_atom_site_type_symbol
_atom_site_fract_x
_atom_site_fract_y
_atom_site_fract_z
Mg1 Mg 0.000 0.000 0.000
Os1 Os 0.000 0.500 0.250
Br1 Br 0.000 0.000 0.500


# PmPr3Ho6 | Alexandria | GGA-PBE | optimized geometry
# Total DFT energy (no corrections) ... -4.51 eV/atom
# Offset from the most stable computed form ... 0.000 eV/atom
# DFT formation energy ... 148.3 meV per atom
data_PmPr3Ho6
_cell_length_a 11.041
_cell_length_b 18.992
_cell_length_c 6.355
_cell_angle_alpha 90.00
_cell_angle_beta 90.00
_cell_angle_gamma 90.00
_symmetry_space_group_name_H-M 'C m c 21'
_symmetry_Int_Tables_number 36
loop_
_symmetry_equiv_pos_as_xyz
'x,y,z'
'-x,-y,z+1/2'
'-x,y,z'
'x,-y,z+1/2'
'x+1/2,y+1/2,z'
'-x+1/2,-y+1/2,z+1/2'
'-x+1/2,y+1/2,z'
'x+1/2,-y+1/2,z+1/2'
loop_
_atom_site_label
_atom_site_type_symbol
_atom_site_fract_x
_atom_site_fract_y
_atom_site_fract_z
Pm1 Pm 0.000 0.195 0.000
Pr1 Pr 0.000 0.389 0.939
Pr2 Pr 0.177 0.113 0.333
Ho1 Ho 0.000 0.039 0.742
Ho2 Ho 0.000 0.273 0.517
Ho3 Ho 0.167 0.454 0.413
Ho4 Ho 0.241 0.290 0.242


> total DFT energy (no corrections) of number 10 (MgOs2Br)?

-5.54 eV/atom